1.
A plane-wave DFT calculation with GGA-PBEsol was carried out for a relaxed In3CuW crystal.

Output
Symmetry = Pm-3m, No. 221
Energy above the most stable polymorph in this dataset = 0.00 kcal/mol of atoms
ΔE_f = 1.20 eV per atom

Cell: 5.203 5.203 5.203 Å, 90.00 90.00 90.00°
Sites, in units of the cell vectors:
In 0.500 0.000 0.000
In 0.000 0.500 0.000
In 0.000 0.000 0.500
Cu 0.500 0.500 0.500
W 0.000 0.000 0.000

=====

2.
A plane-wave DFT calculation with GGA-PBEsol was carried out for a relaxed Sc2Si2Hg crystal.

Output
Symmetry = P4/mbm, No. 127
Formation energy without anion corrections = -3.42 eV/f.u.

Cell: 3.929 6.731 6.731 Å, 90.00 90.00 90.00°
Sites, in units of the cell vectors:
Sc 0.500 0.826 0.326
Sc 0.500 0.674 0.826
Sc 0.500 0.174 0.674
Sc 0.500 0.326 0.174
Si 0.000 0.621 0.121
Si 0.000 0.121 0.379
Si 0.000 0.879 0.621
Si 0.000 0.379 0.879
Hg 0.000 0.000 0.000
Hg 0.000 0.500 0.500

=====

3.
A plane-wave DFT calculation with GGA-PBEsol was carried out for a relaxed BaTe2Pb2 crystal.

Output
Symmetry = I4/mmm, No. 139
Formation energy without anion corrections = -3.13 eV/f.u.

Cell: 6.088 6.552 6.088 Å, 62.32 90.00 117.68°
Sites, in units of the cell vectors:
Ba 0.000 0.000 0.000
Te 0.250 0.500 0.250
Te 0.750 0.500 0.750
Pb 0.344 0.689 0.656
Pb 0.656 0.311 0.344

=====

no.,ρ (g/cm3),total DFT energy (no corrections) (eV per atom)
1,7.0,-4.221
2,6.5,-5.739
3,7.3,-4.066